# Ca2Nb3Ge4 (GGA-PBE, optimized geometry)
data_Ca2Nb3Ge4
_chemical_formula_sum 'Ca4 Nb6 Ge8'
_symmetry_space_group_name_H-M 'P 1 21/c 1'
_symmetry_Int_Tables_number 14
_symmetry_space_group_name_Hall '-P 2ybc'
_cell_length_a 7.247
_cell_length_b 7.233
_cell_length_c 7.065
_cell_angle_alpha 90.00
_cell_angle_beta 109.10
_cell_angle_gamma 90.00
loop_
_atom_site_label
_atom_site_type_symbol
_atom_site_fract_x
_atom_site_fract_y
_atom_site_fract_z
Ca1 Ca 0.181 0.165 0.058
Nb1 Nb 0.262 0.679 0.251
Nb2 Nb 0.500 0.000 0.500
Ge1 Ge 0.087 0.538 0.868
Ge2 Ge 0.487 0.132 0.863
# energy of formation from the pure elements	-0.5181	eV/atom
# calculated total energy	-6.372	eV per atom